# AsWAuSe2 PBE-GGA relaxed
# ΔE_f (raw)   556 meV/atom
# ρ   8.57 g/cm3
# Size of the total moment   0.00 μB per cell
# Energy above the lowest structure with this stoichiometry   0 meV per atom
data_AsWAuSe2
_chemical_formula_sum 'As1 W1 Au1 Se2'
_space_group_name_H-M_alt 'P 4/m m m'
_space_group_IT_number 123
_space_group_name_Hall '-P 4 2'
_cell_length_a 4.841
_cell_length_b 4.841
_cell_length_c 5.073
_cell_angle_alpha 90.00
_cell_angle_beta 90.00
_cell_angle_gamma 90.00
loop_
_atom_site_label
_atom_site_type_symbol
_atom_site_fract_x
_atom_site_fract_y
_atom_site_fract_z
As1 As 0.000 0.000 0.000
W1 W 0.000 0.000 0.500
Au1 Au 0.500 0.500 0.000
Se1 Se 0.000 0.500 0.500